# 1
A relaxed structure of MgIn4I6. Source: Alexandria via LeMat-Bulk, functional PBE-GGA.

Calculated values
space-group type: No. 9
total magnetic moment: 0.0 μB/f.u.
energy relative to the elements, uncorrected: -0.57 eV per atom

abc: 10.154 10.154 15.277
angles: 115.96 115.96 52.01
Sites, in units of the cell vectors:
Mg 0.249 0.751 0.500
Mg 0.751 0.249 0.000
In 0.200 0.365 0.578
In 0.207 0.930 0.269
In 0.254 0.644 0.898
In 0.365 0.200 0.078
In 0.624 0.827 0.768
In 0.644 0.254 0.398
In 0.827 0.624 0.268
In 0.930 0.207 0.769
I 0.018 0.457 0.746
I 0.225 0.583 0.301
I 0.327 0.920 0.871
I 0.391 0.935 0.535
I 0.457 0.018 0.246
I 0.500 0.508 0.610
I 0.508 0.500 0.110
I 0.583 0.225 0.801
I 0.919 0.929 0.031
I 0.920 0.327 0.371
I 0.929 0.919 0.531
I 0.935 0.391 0.035

# 2
A relaxed structure of MgIn6I8. Source: Alexandria via LeMat-Bulk, functional PBE-GGA.

Calculated values
space-group type: No. 148
total magnetic moment: 0.0 μB/f.u.
energy relative to the elements, uncorrected: -0.55 eV per atom

abc: 8.977 8.977 8.977
angles: 71.41 71.41 71.41
Sites, in units of the cell vectors:
Mg 0.000 0.000 0.000
In 0.046 0.459 0.702
In 0.298 0.954 0.541
In 0.459 0.702 0.046
In 0.541 0.298 0.954
In 0.702 0.046 0.459
In 0.954 0.541 0.298
I 0.089 0.851 0.315
I 0.149 0.685 0.911
I 0.315 0.089 0.851
I 0.334 0.334 0.334
I 0.666 0.666 0.666
I 0.685 0.911 0.149
I 0.851 0.315 0.089
I 0.911 0.149 0.685

# 3
A relaxed structure of MgIn2I8. Source: Alexandria via LeMat-Bulk, functional PBE-GGA.

Calculated values
space-group type: No. 12
total magnetic moment: 0.0 μB/f.u.
energy relative to the elements, uncorrected: -0.63 eV per atom

abc: 8.839 8.839 7.183
angles: 94.53 94.53 80.96
Sites, in units of the cell vectors:
Mg 0.000 0.000 0.000
In 0.201 0.201 0.645
In 0.799 0.799 0.355
I 0.092 0.728 0.218
I 0.195 0.195 0.257
I 0.272 0.908 0.782
I 0.397 0.397 0.778
I 0.603 0.603 0.222
I 0.728 0.092 0.218
I 0.805 0.805 0.743
I 0.908 0.272 0.782

# 4
A relaxed structure of Mg2InI. Source: Alexandria via LeMat-Bulk, functional PBE-GGA.

Calculated values
energy above the most stable polymorph in this dataset: 0.0 meV per atom
space-group type: No. 122
total magnetic moment: 0.0 μB/f.u.
energy relative to the elements, uncorrected: -0.01 eV per atom

abc: 7.529 7.529 7.529
angles: 120.83 120.83 88.57
Sites, in units of the cell vectors:
Mg 0.107 0.625 0.982
Mg 0.375 0.357 0.482
Mg 0.643 0.125 0.018
Mg 0.875 0.893 0.518
In 0.000 0.000 0.000
In 0.750 0.250 0.500
I 0.250 0.750 0.500
I 0.500 0.500 0.000

# 5
A relaxed structure of MgIn2I8. Source: Alexandria via LeMat-Bulk, functional PBE-GGA.

Calculated values
space-group type: No. 15
total magnetic moment: 0.0 μB/f.u.
energy relative to the elements, uncorrected: -0.63 eV per atom

abc: 11.550 11.550 14.175
angles: 126.26 126.26 49.13
Sites, in units of the cell vectors:
Mg 0.002 0.998 0.750
Mg 0.998 0.002 0.250
In 0.161 0.672 0.469
In 0.328 0.839 0.031
In 0.672 0.161 0.969
In 0.839 0.328 0.531
I 0.139 0.708 0.800
I 0.148 0.154 0.514
I 0.152 0.680 0.272
I 0.154 0.148 0.014
I 0.292 0.861 0.700
I 0.314 0.356 0.442
I 0.320 0.848 0.228
I 0.356 0.314 0.942
I 0.644 0.686 0.058
I 0.680 0.152 0.772
I 0.686 0.644 0.558
I 0.708 0.139 0.300
I 0.846 0.852 0.986
I 0.848 0.320 0.728
I 0.852 0.846 0.486
I 0.861 0.292 0.200

# 6
A relaxed structure of MgIn2I4. Source: Alexandria via LeMat-Bulk, functional PBE-GGA.

Calculated values
energy above the most stable polymorph in this dataset: 13.9 meV per atom
space-group type: No. 121
total magnetic moment: 0.0 μB/f.u.
energy relative to the elements, uncorrected: -0.64 eV per atom

abc: 8.294 8.294 8.294
angles: 118.36 118.36 92.86
Sites, in units of the cell vectors:
Mg 0.000 0.000 0.000
In 0.250 0.750 0.500
In 0.750 0.250 0.500
I 0.081 0.081 0.400
I 0.319 0.919 0.000
I 0.681 0.681 0.600
I 0.919 0.319 0.000

# 7
A relaxed structure of MgMnIn2I. Source: Alexandria via LeMat-Bulk, functional PBE-GGA.

Calculated values
space-group type: No. 123
total magnetic moment: 3.1 μB/f.u.
energy relative to the elements, uncorrected: 0.32 eV per atom

abc: 5.286 5.286 5.453
angles: 90.00 90.00 90.00
Sites, in units of the cell vectors:
Mg 0.000 0.000 0.000
Mn 0.500 0.500 0.500
In 0.000 0.500 0.500
In 0.500 0.000 0.500
I 0.500 0.500 0.000

# 8
A relaxed structure of MgMn2InI8. Source: Alexandria via LeMat-Bulk, functional PBE-GGA.

Calculated values
space-group type: No. 147
total magnetic moment: 9.0 μB/f.u.
energy relative to the elements, uncorrected: -0.48 eV per atom

abc: 7.381 7.381 10.163
angles: 90.00 90.00 120.00
Sites, in units of the cell vectors:
Mg 0.000 0.000 0.000
Mn 0.333 0.667 0.242
Mn 0.667 0.333 0.758
In 0.000 0.000 0.500
I 0.010 0.687 0.826
I 0.313 0.323 0.826
I 0.323 0.010 0.174
I 0.333 0.667 0.498
I 0.667 0.333 0.502
I 0.677 0.990 0.826
I 0.687 0.677 0.174
I 0.990 0.313 0.174

Which of these has the highest total magnetic moment? MgMn2InI8

What is the formula in the first record? MgIn4I6

total magnetic moment of number 4 (Mg2InI)? 0.0 μB/f.u.

Please write out number 5 again, unchanged.
A relaxed structure of MgIn2I8. Source: Alexandria via LeMat-Bulk, functional PBE-GGA.

Calculated values
space-group type: No. 15
total magnetic moment: 0.0 μB/f.u.
energy relative to the elements, uncorrected: -0.63 eV per atom

abc: 11.550 11.550 14.175
angles: 126.26 126.26 49.13
Sites, in units of the cell vectors:
Mg 0.002 0.998 0.750
Mg 0.998 0.002 0.250
In 0.161 0.672 0.469
In 0.328 0.839 0.031
In 0.672 0.161 0.969
In 0.839 0.328 0.531
I 0.139 0.708 0.800
I 0.148 0.154 0.514
I 0.152 0.680 0.272
I 0.154 0.148 0.014
I 0.292 0.861 0.700
I 0.314 0.356 0.442
I 0.320 0.848 0.228
I 0.356 0.314 0.942
I 0.644 0.686 0.058
I 0.680 0.152 0.772
I 0.686 0.644 0.558
I 0.708 0.139 0.300
I 0.846 0.852 0.986
I 0.848 0.320 0.728
I 0.852 0.846 0.486
I 0.861 0.292 0.200